(1)
First-principles (PBE) data for a geometry-optimized LaCeZr2 structure, as listed in Alexandria.

For the volume, the calculation gives 108 Å³/cell. Its total energy is -27.25 eV/cell. The distance to the lowest polymorph of the same formula is 0 meV/atom. The symmetry is R3m (160). As for the formation energy: 0.176 eV per atom.

```
LaCeZr2
1.0
1.6830 0.9717 11.0264
-1.6830 0.9717 11.0264
0.0000 -1.9434 11.0264
La Ce Zr
1 1 2
Direct
0.0000 0.0000 0.0000
0.8333 0.8333 0.8333
0.2457 0.2457 0.2457
0.4204 0.4204 0.4204
```

(2)
First-principles (PBE) data for a geometry-optimized CoTcBr structure, as listed in Alexandria.

The calculation puts the formation energy (no corrections) at 0.694 eV/atom. For the volume, the calculation gives 49 Å³/cell. Its total energy is -17.06 eV/cell. The distance to the lowest polymorph of the same formula is 39 meV/atom. The symmetry is I4mm (107).

```
CoTcBr
1.0
-1.4667 1.4667 5.7072
1.4667 -1.4667 5.7072
1.4667 1.4667 -5.7072
Co Tc Br
1 1 1
Direct
0.0000 0.0000 0.0000
0.3759 0.3759 0.0000
0.7129 0.7129 0.0000
```

(3)
First-principles (PBE) data for a geometry-optimized CsBa3Sn structure, as listed in Alexandria.

For the volume, the calculation gives 339 Å³/cell. Its total energy is -11.51 eV/cell. The distance to the lowest polymorph of the same formula is 0 meV/atom. The symmetry is Pm-3m (221). As for the formation energy: -0.178 eV per atom.

```
CsBa3Sn
1.0
6.9712 0.0000 0.0000
0.0000 6.9712 0.0000
0.0000 0.0000 6.9712
Cs Ba Sn
1 3 1
Direct
0.0000 0.0000 0.0000
0.0000 0.5000 0.5000
0.5000 0.0000 0.5000
0.5000 0.5000 0.0000
0.5000 0.5000 0.5000
```

(4)
First-principles (PBE) data for a geometry-optimized BeCoRu structure, as listed in Alexandria.

For the volume, the calculation gives 38 Å³/cell. Its total energy is -19.26 eV/cell. The distance to the lowest polymorph of the same formula is 403 meV/atom. The symmetry is F-43m (216). As for the formation energy: 0.284 eV per atom.

```
BeCoRu
1.0
0.0000 2.6612 2.6612
2.6612 0.0000 2.6612
2.6612 2.6612 0.0000
Be Co Ru
1 1 1
Direct
0.0000 0.0000 0.0000
0.2500 0.2500 0.2500
0.5000 0.5000 0.5000
```

(5)
First-principles (PBE) data for a geometry-optimized Sm4Y3HoS8 structure, as listed in Alexandria.

The calculation puts the formation energy (no corrections) at -2.006 eV/atom. For the volume, the calculation gives 351 Å³/cell. Its total energy is -107.96 eV/cell. The symmetry is R-3m (166).

```
Sm4Y3HoS8
1.0
3.9483 2.2795 6.5080
-3.9483 2.2795 6.5080
0.0000 -4.5591 6.5080
Sm Y Ho S
4 3 1 8
Direct
0.0000 0.0000 0.0000
0.0000 0.5000 0.5000
0.5000 0.0000 0.5000
0.5000 0.5000 0.0000
0.0000 0.0000 0.5000
0.0000 0.5000 0.0000
0.5000 0.0000 0.0000
0.5000 0.5000 0.5000
0.2468 0.2468 0.2468
0.2481 0.7457 0.7457
0.2543 0.2543 0.7519
0.2543 0.7519 0.2543
0.7457 0.2481 0.7457
0.7457 0.7457 0.2481
0.7519 0.2543 0.2543
0.7532 0.7532 0.7532
```

(6)
First-principles (PBE) data for a geometry-optimized CaPmPO5 structure, as listed in Alexandria.

The calculation puts the formation energy (no corrections) at -2.896 eV/atom. For the volume, the calculation gives 240 Å³/cell. Its total energy is -120.24 eV/cell. The symmetry is C2/c (15).

```
CaPmPO5
1.0
3.5130 -4.6161 0.0000
3.5130 4.6161 0.0000
-2.7441 0.0000 7.4016
Ca Pm P O
2 2 2 10
Direct
0.1608 0.8392 0.7500
0.8392 0.1608 0.2500
0.5000 0.5000 0.0000
0.5000 0.5000 0.5000
0.1760 0.8240 0.2500
0.8240 0.1760 0.7500
0.0726 0.2183 0.8952
0.1583 0.6076 0.3409
0.2183 0.0726 0.3952
0.3902 0.6098 0.7500
0.3924 0.8417 0.1591
0.6076 0.1583 0.8409
0.6098 0.3902 0.2500
0.7817 0.9274 0.6048
0.8417 0.3924 0.6591
0.9274 0.7817 0.1048
```

(7)
First-principles (PBE) data for a geometry-optimized BaAgCl2 structure, as listed in Alexandria.

The calculation puts the formation energy (no corrections) at -1.306 eV/atom. For the volume, the calculation gives 116 Å³/cell. Its total energy is -13.69 eV/cell. The distance to the lowest polymorph of the same formula is 12 meV/atom. The symmetry is Pm (6).

```
BaAgCl2
1.0
4.4186 0.0000 0.0000
0.0000 4.6017 0.0000
-2.1459 0.0000 5.7016
Ba Ag Cl
1 1 2
Direct
0.0000 0.0000 0.0000
0.7382 0.5000 0.5692
0.2905 0.0000 0.5771
0.5440 0.5000 0.0947
```

(8)
First-principles (PBE) data for a geometry-optimized Ce5Hg2Pt2 structure, as listed in Alexandria.

For the volume, the calculation gives 492 Å³/cell. Its total energy is -95.05 eV/cell. The symmetry is Cmce (64). As for the formation energy: -0.575 eV per atom.

```
Ce5Hg2Pt2
1.0
7.9463 -3.7035 0.0000
7.9463 3.7035 0.0000
0.0000 0.0000 8.3539
Ce Hg Pt
10 4 4
Direct
0.0000 0.0000 0.0000
0.0439 0.7089 0.6762
0.2089 0.5439 0.1762
0.2911 0.9561 0.6762
0.4561 0.7911 0.1762
0.5000 0.5000 0.5000
0.5439 0.2089 0.8238
0.7089 0.0439 0.3238
0.7911 0.4561 0.8238
0.9561 0.2911 0.3238
0.2146 0.2146 0.0000
0.2854 0.2854 0.5000
0.7146 0.7146 0.5000
0.7854 0.7854 0.0000
0.1368 0.8632 0.3771
0.3632 0.6368 0.8771
0.6368 0.3632 0.1229
0.8632 0.1368 0.6229
```

(9)
First-principles (PBE) data for a geometry-optimized Ac2NdPuBi4 structure, as listed in Alexandria.

For the volume, the calculation gives 300 Å³/cell. Its total energy is -49.24 eV/cell. The symmetry is P2/m (10). As for the formation energy: -0.800 eV per atom.

```
Ac2NdPuBi4
1.0
8.1898 0.0000 0.0000
0.0000 4.7360 0.0000
-2.7312 0.0000 7.7285
Ac Nd Pu Bi
2 1 1 4
Direct
0.0000 0.0000 0.0000
0.0000 0.5000 0.5000
0.5000 0.0000 0.5000
0.5000 0.5000 0.0000
0.2667 0.5000 0.2531
0.2691 0.0000 0.7588
0.7309 0.0000 0.2412
0.7333 0.5000 0.7469
```

(10)
First-principles (PBE) data for a geometry-optimized RhPb3 structure, as listed in Alexandria.

For the volume, the calculation gives 108 Å³/cell. Its total energy is -18.10 eV/cell. The symmetry is Pmm2 (25). As for the formation energy: 0.093 eV per atom.

```
RhPb3
1.0
3.5249 0.0000 0.0000
0.0000 3.6040 0.0000
0.0000 0.0000 8.5116
Rh Pb
1 3
Direct
0.0000 0.0000 0.0000
0.0000 0.5000 0.7489
0.5000 0.0000 0.4650
0.5000 0.5000 0.1369
```

(11)
First-principles (PBE) data for a geometry-optimized Tb3Ho2Tm8 structure, as listed in Alexandria.

For the volume, the calculation gives 416 Å³/cell. Its total energy is -55.54 eV/cell. The distance to the lowest polymorph of the same formula is 229 meV/atom. The symmetry is C2/m (12). As for the formation energy: 0.252 eV per atom.

```
Tb3Ho2Tm8
1.0
10.0103 -3.7668 0.0000
10.0103 3.7668 0.0000
-0.0020 0.0000 5.5204
Tb Ho Tm
3 2 8
Direct
0.0000 0.0000 0.0000
0.2865 0.7135 0.5000
0.7135 0.2865 0.5000
0.2411 0.2411 0.9994
0.7589 0.7589 0.0006
0.1333 0.1333 0.4999
0.1789 0.6022 0.9998
0.3320 0.3320 0.4995
0.3978 0.8211 0.0002
0.6022 0.1789 0.9998
0.6680 0.6680 0.5005
0.8211 0.3978 0.0002
0.8667 0.8667 0.5001
```

no.,total magnetization (μB per formula unit)
1,0.00
2,1.06
3,0.00
4,0.00
5,0.00
6,0.00
7,0.00
8,4.55
9,5.05
10,0.00
11,0.00